1.
The following is a DFT calculation (GGA-PBEsol) of TcBiSb2I after structural relaxation.

## Properties
- energy (eV/cell) = -17.97
- energy relative to the elements, uncorrected (meV per atom) = 1692
- theoretical density (g cm⁻³) = 5.75
- space-group type = No. 123
- magnetization (μB/atom) = 0.8188

Cell: 5.8025 5.8025 5.8121 Å, 90.00 90.00 90.00°
Closest atoms and distances in Å follow each position.
Element x y z (fractional)
I 0.0000 0.0000 0.5000  2 Bi 2.91
Sb 0.0000 0.5000 0.0000  2 Bi 2.90
Sb 0.5000 0.0000 0.0000  2 Bi 2.90
Bi 0.0000 0.0000 0.0000  4 Sb 2.90, 2 I 2.91
Tc 0.5000 0.5000 0.5000  4 I 4.10, 8 Sb 4.11

***

2.
The following is a DFT calculation (GGA-PBEsol) of CuAgF3 after structural relaxation.

## Properties
- energy (eV/cell) = -78.83
- energy relative to the elements, uncorrected (meV per atom) = -1256
- theoretical density (g cm⁻³) = 6.30
- space-group type = No. 11
- polymorph energy (0 for the lowest one) (meV per atom) = 0
- magnetization (μB/atom) = 0.0000

Cell: 5.6250 5.6332 7.6022 Å, 90.00 90.00 89.97°
Closest atoms and distances in Å follow each position.
Element x y z (fractional)
Cu 0.0000 0.5000 0.0000  4 F 1.92-1.96
Cu 0.5000 0.0000 0.0000  4 F 1.92-1.96
Cu 0.0000 0.5000 0.5000  4 F 1.92-1.96
Cu 0.5000 0.0000 0.5000  4 F 1.92-1.96
Ag 0.4613 0.5107 0.7500  6 F 2.40-2.67
Ag 0.5387 0.4893 0.2500  6 F 2.40-2.67
Ag 0.9613 0.9892 0.7500  6 F 2.40-2.66
Ag 0.0387 0.0108 0.2500  6 F 2.40-2.66
F 0.7238 0.6933 0.9586  1 Cu 1.92
F 0.2762 0.3067 0.0414  1 Cu 1.92
F 0.7766 0.1931 0.0402  1 Cu 1.92
F 0.2234 0.8069 0.9598  1 Cu 1.92
F 0.7238 0.6934 0.5414  1 Cu 1.92
F 0.2762 0.3066 0.4586  1 Cu 1.92
F 0.7765 0.1933 0.4597  1 Cu 1.92
F 0.2235 0.8067 0.5403  1 Cu 1.92
F 0.0181 0.4200 0.7500  2 Cu 1.96
F 0.9819 0.5800 0.2500  2 Cu 1.96
F 0.5156 0.0800 0.7500  2 Cu 1.96
F 0.4844 0.9200 0.2500  2 Cu 1.96

***

3.
The following is a DFT calculation (GGA-PBEsol) of AlAs after structural relaxation.

## Properties
- energy (eV/cell) = -18.21
- theoretical density (g cm⁻³) = 4.73
- space-group type = No. 12
- energy relative to the elements (meV per atom) = 47
- magnetization (μB/atom) = 0.0000

Cell: 2.7951 5.3135 5.6284 Å, 116.51 90.00 105.25°
Closest atoms and distances in Å follow each position.
Element x y z (fractional)
As 0.9277 0.8554 0.7189  5 Al 2.65-2.86, 3 As 2.80-2.81
As 0.0723 0.1446 0.2811  5 Al 2.65-2.86, 3 As 2.80-2.81
Al 0.3199 0.6399 0.2418  5 As 2.65-2.86, 4 Al 2.79-2.80
Al 0.6801 0.3601 0.7582  5 As 2.65-2.86, 4 Al 2.79-2.80

***

4.
The following is a DFT calculation (GGA-PBEsol) of Sr2H2Se after structural relaxation.

## Properties
- energy (eV/cell) = -19.76
- theoretical density (g cm⁻³) = 4.38
- space-group type = No. 139
- magnetization (μB/atom) = 0.0000

Cell: 3.9102 3.9102 6.9243 Å, 106.40 106.40 90.00°
Closest atoms and distances in Å follow each position.
Element x y z (fractional)
Sr 0.3622 0.3622 0.7244  4 H 2.42
Sr 0.6378 0.6378 0.2756  4 H 2.42
Se 0.0000 0.0000 0.0000  8 Sr 3.27
H 0.2500 0.7500 0.5000  4 Sr 2.42
H 0.7500 0.2500 0.5000  4 Sr 2.42

***

5.
The following is a DFT calculation (GGA-PBEsol) of Ba2FeMo after structural relaxation.

## Properties
- energy (eV/cell) = -19.05
- theoretical density (g cm⁻³) = 7.05
- space-group type = No. 12
- energy relative to the elements (meV per atom) = 1495
- magnetization (μB/atom) = 0.8976

Cell: 3.0740 5.2870 6.4645 Å, 92.58 90.00 106.90°
Closest atoms and distances in Å follow each position.
Element x y z (fractional)
Ba 0.7514 0.5028 0.7546  3 Fe 3.06-3.29, 3 Mo 3.07-3.34, 2 Ba 3.07
Ba 0.2486 0.4972 0.2454  3 Fe 3.06-3.29, 3 Mo 3.07-3.34, 2 Ba 3.07
Fe 0.5000 0.0000 0.0000  6 Ba 3.06-3.29, 2 Fe 3.07
Mo 0.0000 0.0000 0.5000  6 Ba 3.07-3.34, 2 Mo 3.07

***

6.
The following is a DFT calculation (GGA-PBEsol) of PbSI3 after structural relaxation.

## Properties
- energy (eV/cell) = -13.11
- energy relative to the elements, uncorrected (meV per atom) = 115
- theoretical density (g cm⁻³) = 6.26
- space-group type = No. 221
- magnetization (μB/atom) = 0.0040

Cell: 5.4791 5.4791 5.4791 Å, 90.00 90.00 90.00°
Closest atoms and distances in Å follow each position.
Element x y z (fractional)
Pb 0.5000 0.5000 0.5000  12 I 3.87
I 0.0000 0.5000 0.0000  2 S 2.74
I 0.0000 0.0000 0.5000  2 S 2.74
I 0.5000 0.0000 0.0000  2 S 2.74
S 0.0000 0.0000 0.0000  6 I 2.74

***

7.
The following is a DFT calculation (GGA-PBEsol) of BaGaN after structural relaxation.

## Properties
- energy (eV/cell) = -31.48
- energy relative to the elements, uncorrected (meV per atom) = -575
- theoretical density (g cm⁻³) = 5.34
- space-group type = No. 12
- magnetization (μB/atom) = 0.0000

Cell: 4.2783 4.3847 8.6319 Å, 101.72 90.00 119.20°
Closest atoms and distances in Å follow each position.
Element x y z (fractional)
Ba 0.9181 0.8362 0.1948  3 N 2.63-2.93
Ba 0.0819 0.1638 0.8052  3 N 2.63-2.93
Ga 0.6638 0.3276 0.4987  3 Ga 2.51
Ga 0.3362 0.6724 0.5013  3 Ga 2.51
N 0.4203 0.8406 0.9629  1 N 1.24
N 0.5797 0.1594 0.0371  1 N 1.24

***

8.
The following is a DFT calculation (GGA-PBEsol) of Sr2RePb after structural relaxation.

## Properties
- energy (eV/cell) = -18.90
- theoretical density (g cm⁻³) = 7.69
- space-group type = No. 38
- energy relative to the elements (meV per atom) = 529
- magnetization (μB/atom) = 0.0188

Cell: 4.5398 4.6219 6.2928 Å, 111.54 90.00 90.00°
Closest atoms and distances in Å follow each position.
Element x y z (fractional)
Pb 0.0000 0.8139 0.6277  2 Re 2.68
Re 0.5000 0.6914 0.3827  2 Pb 2.68
Sr 0.0000 0.1072 0.2143  3 Pb 3.35-3.43, 4 Re 3.39
Sr 0.5000 0.3954 0.7907  3 Re 3.32-3.46, 4 Pb 3.38

***

9.
The following is a DFT calculation (GGA-PBEsol) of CrInCl2 after structural relaxation.

## Properties
- energy (eV/cell) = -19.08
- energy relative to the elements, uncorrected (meV per atom) = -460
- theoretical density (g cm⁻³) = 4.28
- space-group type = No. 8
- polymorph energy (0 for the lowest one) (meV per atom) = 0
- magnetization (μB/atom) = 0.9038

Cell: 3.3047 5.6641 5.8083 Å, 116.59 106.53 90.00°
Closest atoms and distances in Å follow each position.
Element x y z (fractional)
Cr 0.5572 0.7403 0.1144  4 Cl 2.33-2.34
Cl 0.9719 0.9134 0.9439  2 Cr 2.34
Cl 0.1548 0.5932 0.3097  2 Cr 2.33
In 0.8160 0.2531 0.6320  3 Cr 2.99-3.26, 3 Cl 3.14-3.34, 2 In 3.30

***

10.
The following is a DFT calculation (GGA-PBEsol) of TlIr2Cl after structural relaxation.

## Properties
- energy (eV/cell) = -22.39
- energy relative to the elements, uncorrected (meV per atom) = 475
- theoretical density (g cm⁻³) = 14.00
- space-group type = No. 160
- polymorph energy (0 for the lowest one) (meV per atom) = 81
- magnetization (μB/atom) = 0.0003

Cell: 2.9584 2.9584 9.9193 Å, 81.42 81.42 60.00°
Closest atoms and distances in Å follow each position.
Element x y z (fractional)
Tl 0.5099 0.5099 0.4702  6 Tl 2.96, 3 Ir 3.08
Ir 0.9972 0.9972 0.0083  3 Cl 2.55, 3 Ir 2.59
Ir 0.2642 0.2642 0.2073  3 Ir 2.59
Cl 0.7286 0.7286 0.8141  3 Ir 2.55

***

11.
The following is a DFT calculation (GGA-PBEsol) of TiTl2Ge3O9 after structural relaxation.

## Properties
- energy (eV/cell) = -204.22
- energy relative to the elements, uncorrected (meV per atom) = -1765
- theoretical density (g cm⁻³) = 6.26
- space-group type = No. 176
- magnetization (μB/atom) = 0.0000

Cell: 6.9547 6.9547 10.3707 Å, 90.00 90.00 120.00°
Closest atoms and distances in Å follow each position.
Element x y z (fractional)
Ti 0.0000 0.0000 0.0000  6 O 1.96
Ti 0.0000 0.0000 0.5000  6 O 1.96
Tl 0.3333 0.6667 0.0534  3 O 2.79
Tl 0.6667 0.3333 0.5534  3 O 2.79
Tl 0.6667 0.3333 0.9466  3 O 2.79
Tl 0.3333 0.6667 0.4466  3 O 2.79
Ge 0.1194 0.7533 0.7500  4 O 1.73-1.79
Ge 0.2467 0.3661 0.7500  4 O 1.73-1.79
Ge 0.6339 0.8806 0.7500  4 O 1.73-1.79
Ge 0.7533 0.6339 0.2500  4 O 1.73-1.79
Ge 0.3661 0.1194 0.2500  4 O 1.73-1.79
Ge 0.8806 0.2467 0.2500  4 O 1.73-1.79
O 0.7675 0.7700 0.1072  1 Ge 1.73
O 0.7700 0.0025 0.6072  1 Ge 1.73
O 0.9975 0.7675 0.6072  1 Ge 1.73
O 0.0025 0.2325 0.1072  1 Ge 1.73
O 0.2300 0.9975 0.1072  1 Ge 1.73
O 0.2325 0.2300 0.6072  1 Ge 1.73
O 0.2325 0.2300 0.8928  1 Ge 1.73
O 0.2300 0.9975 0.3928  1 Ge 1.73
O 0.0025 0.2325 0.3928  1 Ge 1.73
O 0.9975 0.7675 0.8928  1 Ge 1.73
O 0.7700 0.0025 0.8928  1 Ge 1.73
O 0.7675 0.7700 0.3928  1 Ge 1.73
O 0.9386 0.5286 0.2500  2 Ge 1.77-1.79
O 0.5286 0.5900 0.7500  2 Ge 1.77-1.79
O 0.4100 0.9386 0.7500  2 Ge 1.77-1.79
O 0.5900 0.0614 0.2500  2 Ge 1.77-1.79
O 0.4714 0.4100 0.2500  2 Ge 1.77-1.79
O 0.0614 0.4714 0.7500  2 Ge 1.77-1.79